No. 1
Material: GdAgPd
Method: DFT, PBE-GGA
State: optimized geometry

The magnetic moment comes out at 14.47 Bohr magnetons per cell. The formation energy comes out at -0.533 eV/atom. The value obtained for the relative energy among the computed polymorphs is 0.0000 eV per atom.

It has space group I4mm (No. 107), with a = 3.699 Å, b = 3.699 Å, c = 9.234 Å, α = 90.00°, β = 90.00° and γ = 90.00°. The distinct sites, in fractional coordinates, are Gd at (0.000, 0.000, 0.000), Ag at (0.000, 0.000, 0.678) and Pd at (0.000, 0.000, 0.343).

***

No. 2
Material: GdAg4Pd
Method: DFT, PBE-GGA
State: optimized geometry

The magnetic moment comes out at 29.48 Bohr magnetons per cell. The formation energy comes out at -0.202 eV/atom.

It has space group F-43m (No. 216), with a = 7.773 Å, b = 7.773 Å, c = 7.773 Å, α = 90.00°, β = 90.00° and γ = 90.00°. The distinct sites, in fractional coordinates, are Gd at (0.000, 0.000, 0.000), Ag at (0.125, 0.125, 0.625) and Pd at (0.250, 0.250, 0.250).

***

No. 3
Material: GdAgPd
Method: DFT, PBE-GGA
State: optimized geometry

The magnetic moment comes out at 28.40 Bohr magnetons per cell. The formation energy comes out at -0.451 eV/atom. The value obtained for the relative energy among the computed polymorphs is 0.0818 eV per atom.

It has space group F-43m (No. 216), with a = 6.614 Å, b = 6.614 Å, c = 6.614 Å, α = 90.00°, β = 90.00° and γ = 90.00°. The distinct sites, in fractional coordinates, are Gd at (0.000, 0.000, 0.000), Ag at (0.000, 0.000, 0.500) and Pd at (0.250, 0.250, 0.250).

***

No. 4
Material: GdAgPd
Method: DFT, PBE-GGA
State: optimized geometry

The magnetic moment comes out at 7.13 Bohr magnetons per cell. The formation energy comes out at -0.496 eV/atom. The value obtained for the relative energy among the computed polymorphs is 0.0373 eV per atom.

It has space group P-6m2 (No. 187), with a = 4.6684 Å, b = 4.6684 Å, c = 3.4329 Å, α = 90.00°, β = 90.00° and γ = 120.00°. The distinct sites, in fractional coordinates, are Gd at (0.0000, 0.0000, 0.0000), Ag at (0.3333, 0.6667, 0.5000) and Pd at (0.6667, 0.3333, 0.5000).

***

No. 5
Material: PmGdAgPd
Method: DFT, PBE-GGA
State: optimized geometry

The magnetic moment comes out at 28.78 Bohr magnetons per cell. The formation energy comes out at -0.532 eV/atom.

It has space group F-43m (No. 216), with a = 7.267 Å, b = 7.267 Å, c = 7.267 Å, α = 90.00°, β = 90.00° and γ = 90.00°. The distinct sites, in fractional coordinates, are Pm at (0.000, 0.000, 0.000), Gd at (0.000, 0.000, 0.500), Ag at (0.250, 0.250, 0.250) and Pd at (0.250, 0.250, 0.750).

***

No. 6
Material: PrGdAgPd
Method: DFT, PBE-GGA
State: optimized geometry

The magnetic moment comes out at 28.90 Bohr magnetons per cell. The formation energy comes out at -0.509 eV/atom.

It has space group F-43m (No. 216), with a = 7.323 Å, b = 7.323 Å, c = 7.323 Å, α = 90.00°, β = 90.00° and γ = 90.00°. The distinct sites, in fractional coordinates, are Pr at (0.000, 0.000, 0.000), Gd at (0.000, 0.000, 0.500), Ag at (0.250, 0.250, 0.750) and Pd at (0.250, 0.250, 0.250).

***

No. 7
Material: GdAgPdRh
Method: DFT, PBE-GGA
State: optimized geometry

The magnetic moment comes out at 28.42 Bohr magnetons per cell. The formation energy comes out at -0.479 eV/atom.

It has space group F-43m (No. 216), with a = 6.667 Å, b = 6.667 Å, c = 6.667 Å, α = 90.00°, β = 90.00° and γ = 90.00°. The distinct sites, in fractional coordinates, are Gd at (0.000, 0.000, 0.000), Ag at (0.000, 0.000, 0.500), Pd at (0.250, 0.250, 0.750) and Rh at (0.250, 0.250, 0.250).

***

No. 8
Material: SmGdAgPd
Method: DFT, PBE-GGA
State: optimized geometry

The magnetic moment comes out at 28.73 Bohr magnetons per cell. The formation energy comes out at -0.539 eV/atom.

It has space group F-43m (No. 216), with a = 7.248 Å, b = 7.248 Å, c = 7.248 Å, α = 90.00°, β = 90.00° and γ = 90.00°. The distinct sites, in fractional coordinates, are Sm at (0.000, 0.000, 0.000), Gd at (0.000, 0.000, 0.500), Ag at (0.250, 0.250, 0.750) and Pd at (0.250, 0.250, 0.250).

***

No. 9
Material: SrGdAgPd
Method: DFT, PBE-GGA
State: optimized geometry

The magnetic moment comes out at 28.87 Bohr magnetons per cell. The formation energy comes out at -0.418 eV/atom.

It has space group F-43m (No. 216), with a = 7.396 Å, b = 7.396 Å, c = 7.396 Å, α = 90.00°, β = 90.00° and γ = 90.00°. The distinct sites, in fractional coordinates, are Sr at (0.000, 0.000, 0.000), Gd at (0.000, 0.000, 0.500), Ag at (0.250, 0.250, 0.750) and Pd at (0.250, 0.250, 0.250).

***

No. 10
Material: TbGdAgPd
Method: DFT, PBE-GGA
State: optimized geometry

The magnetic moment comes out at 28.69 Bohr magnetons per cell. The formation energy comes out at -0.566 eV/atom.

It has space group F-43m (No. 216), with a = 7.187 Å, b = 7.187 Å, c = 7.187 Å, α = 90.00°, β = 90.00° and γ = 90.00°. The distinct sites, in fractional coordinates, are Tb at (0.000, 0.000, 0.000), Gd at (0.000, 0.000, 0.500), Ag at (0.250, 0.250, 0.750) and Pd at (0.250, 0.250, 0.250).

***

No. 11
Material: GdYAgPd
Method: DFT, PBE-GGA
State: optimized geometry

The magnetic moment comes out at 28.76 Bohr magnetons per cell. The formation energy comes out at -0.571 eV/atom.

It has space group F-43m (No. 216), with a = 7.183 Å, b = 7.183 Å, c = 7.183 Å, α = 90.00°, β = 90.00° and γ = 90.00°. The distinct sites, in fractional coordinates, are Gd at (0.000, 0.000, 0.000), Y at (0.000, 0.000, 0.500), Ag at (0.250, 0.250, 0.750) and Pd at (0.250, 0.250, 0.250).

***

No. 12
Material: GdZnAgPd
Method: DFT, PBE-GGA
State: optimized geometry

The magnetic moment comes out at 28.83 Bohr magnetons per cell. The formation energy comes out at -0.421 eV/atom.

It has space group F-43m (No. 216), with a = 6.793 Å, b = 6.793 Å, c = 6.793 Å, α = 90.00°, β = 90.00° and γ = 90.00°. The distinct sites, in fractional coordinates, are Gd at (0.000, 0.000, 0.000), Zn at (0.000, 0.000, 0.500), Ag at (0.250, 0.250, 0.250) and Pd at (0.250, 0.250, 0.750).